# 1
A relaxed CaY3Ti4O12 crystal, computed with PBE.

Geometry as POSCAR:
```
CaY3Ti4O12
1.0
5.369 0.000 0.000
0.000 7.723 0.000
-0.010 0.000 5.641
Ca Y Ti O
1 3 4 12
Direct
0.000 0.000 0.000 Ca
0.467 0.000 0.509 Y
0.503 0.500 0.376 Y
0.968 0.500 0.876 Y
0.484 0.248 0.944 Ti
0.484 0.752 0.944 Ti
0.988 0.248 0.441 Ti
0.988 0.752 0.441 Ti
0.095 0.500 0.481 O
0.187 0.200 0.738 O
0.187 0.800 0.738 O
0.300 0.201 0.251 O
0.300 0.799 0.251 O
0.373 0.500 0.983 O
0.578 0.000 0.908 O
0.684 0.307 0.646 O
0.684 0.693 0.646 O
0.789 0.311 0.144 O
0.789 0.689 0.144 O
0.879 0.000 0.412 O
```

Computed properties:
Density ... 4.9 g cm⁻³
Space group ... Pm (6)


# 2
A relaxed CaYb4Ti2O10 crystal, computed with PBE.

Geometry as POSCAR:
```
CaYb4Ti2O10
1.0
5.610 0.000 0.000
-2.760 4.966 0.000
-0.369 -2.552 8.326
Ca Yb Ti O
1 4 2 10
Direct
0.000 0.000 0.000 Ca
0.162 0.275 0.414 Yb
0.305 0.577 0.823 Yb
0.374 0.794 0.228 Yb
0.614 0.155 0.645 Yb
0.696 0.366 0.075 Ti
0.903 0.775 0.570 Ti
0.014 0.512 0.607 O
0.038 0.618 0.998 O
0.043 0.080 0.747 O
0.214 0.917 0.456 O
0.406 0.205 0.200 O
0.548 0.520 0.623 O
0.560 0.064 0.893 O
0.580 0.625 0.044 O
0.723 0.897 0.437 O
0.958 0.334 0.206 O
```

Computed properties:
Density ... 7.1 g cm⁻³
Space group ... P1 (1)


# 3
A relaxed CaTi8Zn2O19 crystal, computed with PBE.

Geometry as POSCAR:
```
CaTi8Zn2O19
1.0
9.304 0.000 0.000
3.447 8.672 0.000
3.437 2.354 8.355
Ca Ti Zn O
2 16 4 38
Direct
0.000 0.000 0.000 Ca
0.472 0.495 0.475 Ca
0.025 0.854 0.430 Ti
0.144 0.577 0.976 Ti
0.149 0.486 0.366 Ti
0.201 0.349 0.781 Ti
0.224 0.801 0.654 Ti
0.343 0.792 0.191 Ti
0.421 0.024 0.856 Ti
0.486 0.368 0.147 Ti
0.580 0.976 0.144 Ti
0.622 0.849 0.520 Ti
0.653 0.220 0.787 Ti
0.780 0.192 0.351 Ti
0.793 0.650 0.225 Ti
0.844 0.515 0.640 Ti
0.857 0.422 0.031 Ti
0.982 0.137 0.582 Ti
0.187 0.194 0.195 Zn
0.366 0.155 0.491 Zn
0.511 0.634 0.851 Zn
0.806 0.810 0.814 Zn
0.011 0.113 0.370 O
0.013 0.641 0.489 O
0.038 0.580 0.206 O
0.106 0.365 0.018 O
0.121 0.873 0.211 O
0.134 0.792 0.877 O
0.193 0.036 0.588 O
0.204 0.129 0.866 O
0.213 0.568 0.748 O
0.253 0.782 0.439 O
0.257 0.367 0.563 O
0.281 0.296 0.288 O
0.340 0.564 0.268 O
0.351 0.504 0.000 O
0.361 0.015 0.121 O
0.412 0.808 0.970 O
0.429 0.262 0.788 O
0.441 0.746 0.641 O
0.496 0.004 0.651 O
0.521 0.981 0.357 O
0.561 0.277 0.342 O
0.565 0.738 0.222 O
0.577 0.200 0.047 O
0.633 0.989 0.892 O
0.641 0.483 0.028 O
0.663 0.435 0.735 O
0.722 0.714 0.707 O
0.735 0.214 0.571 O
0.740 0.658 0.443 O
0.788 0.432 0.263 O
0.794 0.872 0.131 O
0.797 0.962 0.424 O
0.869 0.204 0.131 O
0.872 0.131 0.795 O
0.884 0.636 0.992 O
0.954 0.424 0.804 O
0.982 0.890 0.639 O
0.986 0.361 0.516 O
```

Computed properties:
Density ... 4.2 g cm⁻³
Space group ... P1 (1)


# 4
A relaxed CaTi2Zn2O7 crystal, computed with PBE.

Geometry as POSCAR:
```
CaTi2Zn2O7
1.0
-1.800 8.148 2.509
1.800 -8.148 2.509
1.800 8.148 -2.509
Ca Ti Zn O
1 2 2 7
Direct
0.000 0.000 0.000 Ca
0.455 0.065 0.390 Ti
0.675 0.065 0.610 Ti
0.282 0.563 0.719 Zn
0.843 0.563 0.281 Zn
0.104 0.705 0.399 O
0.306 0.705 0.601 O
0.425 0.158 0.267 O
0.572 0.688 0.884 O
0.698 0.198 0.500 O
0.803 0.688 0.116 O
0.891 0.158 0.733 O
```

Computed properties:
Density ... 4.3 g cm⁻³
Space group ... Imm2 (44)


# 5
A relaxed Ca2TiZnO5 crystal, computed with PBE.

Geometry as POSCAR:
```
Ca2TiZnO5
1.0
1.572 -6.795 0.000
1.572 6.795 0.000
0.000 0.000 10.217
Ca Ti Zn O
4 2 2 10
Direct
0.116 0.884 0.500 Ca
0.125 0.875 0.059 Ca
0.875 0.125 0.559 Ca
0.884 0.116 0.000 Ca
0.228 0.772 0.797 Ti
0.772 0.228 0.297 Ti
0.486 0.514 0.262 Zn
0.514 0.486 0.762 Zn
0.083 0.917 0.826 O
0.277 0.723 0.430 O
0.281 0.719 0.171 O
0.367 0.633 0.812 O
0.500 0.500 0.070 O
0.500 0.500 0.570 O
0.633 0.367 0.312 O
0.719 0.281 0.671 O
0.723 0.277 0.930 O
0.917 0.083 0.326 O
```

Computed properties:
Density ... 4.2 g cm⁻³
Space group ... Cmc2_1 (36)


# 6
A relaxed CaZrTi2O7 crystal, computed with PBE.

Geometry as POSCAR:
```
CaZrTi2O7
1.0
7.305 0.000 0.000
3.585 6.375 0.000
1.817 1.036 11.247
Ca Zr Ti O
4 4 8 28
Direct
0.002 0.244 0.010 Ca
0.253 0.498 0.499 Ca
0.747 0.502 0.501 Ca
0.998 0.756 0.990 Ca
0.255 0.998 0.475 Zr
0.498 0.756 0.973 Zr
0.502 0.244 0.027 Zr
0.745 0.002 0.525 Zr
0.080 0.481 0.253 Ti
0.132 0.869 0.246 Ti
0.350 0.641 0.749 Ti
0.373 0.130 0.752 Ti
0.627 0.870 0.248 Ti
0.650 0.359 0.251 Ti
0.868 0.131 0.754 Ti
0.920 0.519 0.747 Ti
0.040 0.881 0.417 O
0.069 0.220 0.786 O
0.076 0.840 0.782 O
0.109 0.328 0.401 O
0.162 0.394 0.104 O
0.210 0.876 0.071 O
0.244 0.445 0.722 O
0.294 0.557 0.278 O
0.341 0.923 0.291 O
0.379 0.118 0.582 O
0.380 0.124 0.921 O
0.380 0.703 0.574 O
0.382 0.536 0.916 O
0.442 0.837 0.790 O
0.558 0.163 0.210 O
0.618 0.464 0.084 O
0.620 0.297 0.426 O
0.620 0.876 0.079 O
0.621 0.882 0.418 O
0.659 0.077 0.709 O
0.706 0.443 0.722 O
0.756 0.555 0.278 O
0.790 0.124 0.929 O
0.838 0.606 0.896 O
0.891 0.672 0.599 O
0.924 0.160 0.218 O
0.931 0.780 0.214 O
0.960 0.119 0.583 O
```

Computed properties:
Density ... 4.3 g cm⁻³
Space group ... P-1 (2)


# 7
A relaxed Ca2Zr5Ti2O16 crystal, computed with PBE.

Geometry as POSCAR:
```
Ca2Zr5Ti2O16
1.0
-5.124 7.694 7.710
5.124 -7.694 7.710
5.124 7.694 -7.710
Ca Zr Ti O
8 20 8 64
Direct
0.082 0.123 0.205 Ca
0.082 0.793 0.543 Ca
0.250 0.539 0.457 Ca
0.418 0.623 0.041 Ca
0.582 0.039 0.289 Ca
0.582 0.377 0.959 Ca
0.750 0.293 0.711 Ca
0.918 0.877 0.795 Ca
0.083 0.473 0.857 Zr
0.116 0.973 0.390 Zr
0.221 0.667 0.268 Zr
0.225 0.383 0.618 Zr
0.261 0.210 0.774 Zr
0.265 0.883 0.158 Zr
0.400 0.953 0.732 Zr
0.404 0.279 0.341 Zr
0.436 0.487 0.226 Zr
0.438 0.779 0.875 Zr
0.583 0.726 0.610 Zr
0.616 0.226 0.143 Zr
0.721 0.453 0.554 Zr
0.725 0.107 0.842 Zr
0.761 0.987 0.051 Zr
0.765 0.607 0.382 Zr
0.900 0.167 0.446 Zr
0.904 0.563 0.125 Zr
0.936 0.710 0.949 Zr
0.938 0.063 0.659 Zr
0.081 0.633 0.707 Ti
0.082 0.286 0.036 Ti
0.250 0.046 0.964 Ti
0.426 0.133 0.552 Ti
0.581 0.874 0.448 Ti
0.582 0.546 0.796 Ti
0.750 0.786 0.204 Ti
0.926 0.374 0.293 Ti
0.044 0.544 0.500 O
0.045 0.329 0.214 O
0.048 0.470 0.097 O
0.053 0.414 0.639 O
0.068 0.152 0.426 O
0.069 0.751 0.313 O
0.093 0.023 0.585 O
0.096 0.903 0.174 O
0.111 0.691 0.915 O
0.115 0.241 0.864 O
0.115 0.831 0.786 O
0.116 0.116 0.000 O
0.226 0.652 0.084 O
0.229 0.403 0.808 O
0.245 0.616 0.712 O
0.247 0.458 0.200 O
0.258 0.047 0.800 O
0.261 0.041 0.126 O
0.261 0.329 0.427 O
0.261 0.761 0.500 O
0.275 0.914 0.361 O
0.276 0.191 0.580 O
0.373 0.951 0.903 O
0.377 0.251 0.136 O
0.402 0.115 0.699 O
0.402 0.402 0.000 O
0.402 0.829 0.068 O
0.404 0.116 0.371 O
0.415 0.541 0.780 O
0.415 0.703 0.301 O
0.438 0.756 0.687 O
0.439 0.509 0.415 O
0.544 0.044 0.500 O
0.545 0.331 0.716 O
0.548 0.451 0.578 O
0.553 0.914 0.639 O
0.568 0.142 0.916 O
0.569 0.256 0.318 O
0.593 0.009 0.070 O
0.596 0.421 0.192 O
0.611 0.697 0.420 O
0.615 0.751 0.874 O
0.615 0.829 0.284 O
0.616 0.616 0.000 O
0.726 0.642 0.574 O
0.729 0.921 0.826 O
0.745 0.033 0.629 O
0.747 0.547 0.789 O
0.758 0.958 0.211 O
0.761 0.261 0.500 O
0.761 0.334 0.932 O
0.761 0.635 0.220 O
0.775 0.414 0.361 O
0.776 0.197 0.085 O
0.873 0.970 0.422 O
0.877 0.741 0.126 O
0.902 0.203 0.287 O
0.902 0.834 0.573 O
0.902 0.902 0.000 O
0.904 0.533 0.288 O
0.915 0.135 0.874 O
0.915 0.615 0.713 O
0.938 0.251 0.682 O
0.939 0.523 0.930 O
```

Computed properties:
Density ... 4.9 g cm⁻³
Space group ... Iba2 (45)


# 8
A relaxed Ca3TlO crystal, computed with PBE.

Geometry as POSCAR:
```
Ca3TlO
1.0
3.433 1.982 6.005
-3.433 1.982 6.005
0.000 -3.964 6.005
Ca Tl O
6 2 2
Direct
0.037 0.578 0.131 Ca
0.131 0.037 0.578 Ca
0.422 0.869 0.963 Ca
0.578 0.131 0.037 Ca
0.869 0.963 0.422 Ca
0.963 0.422 0.869 Ca
0.408 0.408 0.408 Tl
0.592 0.592 0.592 Tl
0.171 0.171 0.171 O
0.829 0.829 0.829 O
```

Computed properties:
Density ... 4.6 g cm⁻³
Space group ... R-3 (148)


# 9
A relaxed CaTlO2 crystal, computed with PBE.

Geometry as POSCAR:
```
CaTlO2
1.0
7.384 0.000 0.000
0.000 4.844 0.000
0.000 0.000 8.243
Ca Tl O
4 4 8
Direct
0.082 0.250 0.128 Ca
0.418 0.750 0.628 Ca
0.582 0.250 0.372 Ca
0.918 0.750 0.872 Ca
0.096 0.250 0.628 Tl
0.404 0.750 0.128 Tl
0.596 0.250 0.872 Tl
0.904 0.750 0.372 Tl
0.069 0.750 0.116 O
0.100 0.750 0.636 O
0.400 0.250 0.136 O
0.431 0.250 0.616 O
0.569 0.750 0.384 O
0.600 0.750 0.864 O
0.900 0.250 0.364 O
0.931 0.250 0.884 O
```

Computed properties:
Density ... 6.2 g cm⁻³
Space group ... Pnma (62)


# 10
A relaxed Ca3TlO5 crystal, computed with PBE.

Geometry as POSCAR:
```
Ca3TlO5
1.0
1.685 -5.666 0.000
1.685 5.666 0.000
0.000 0.000 13.653
Ca Tl O
6 2 10
Direct
0.026 0.974 0.750 Ca
0.231 0.769 0.113 Ca
0.231 0.769 0.387 Ca
0.769 0.231 0.613 Ca
0.769 0.231 0.887 Ca
0.974 0.026 0.250 Ca
0.500 0.500 0.000 Tl
0.500 0.500 0.500 Tl
0.138 0.862 0.547 O
0.138 0.862 0.953 O
0.336 0.664 0.250 O
0.414 0.586 0.645 O
0.414 0.586 0.855 O
0.586 0.414 0.145 O
0.586 0.414 0.355 O
0.664 0.336 0.750 O
0.862 0.138 0.047 O
0.862 0.138 0.453 O
```

Computed properties:
Density ... 5.2 g cm⁻³
Space group ... Cmcm (63)


# 11
A relaxed Ca3Tl4O8 crystal, computed with PBE.

Geometry as POSCAR:
```
Ca3Tl4O8
1.0
4.851 -4.971 0.000
4.851 4.971 0.000
-4.814 0.000 4.937
Ca Tl O
3 4 8
Direct
0.000 0.000 0.000 Ca
0.000 0.500 0.000 Ca
0.500 0.000 0.000 Ca
0.000 0.500 0.500 Tl
0.500 0.000 0.500 Tl
0.500 0.500 0.000 Tl
0.500 0.500 0.500 Tl
0.243 0.757 0.000 O
0.265 0.265 0.028 O
0.269 0.731 0.500 O
0.271 0.271 0.519 O
0.729 0.729 0.481 O
0.731 0.269 0.500 O
0.735 0.735 0.972 O
0.757 0.243 0.000 O
```

Computed properties:
Density ... 7.4 g cm⁻³
Space group ... C2/m (12)


# 12
A relaxed Ca3TlO crystal, computed with PBE.

Geometry as POSCAR:
```
Ca3TlO
1.0
5.968 0.000 0.000
0.000 14.216 0.000
0.000 0.000 6.765
Ca Tl O
12 4 4
Direct
0.008 0.119 0.066 Ca
0.008 0.381 0.066 Ca
0.050 0.250 0.595 Ca
0.450 0.750 0.095 Ca
0.492 0.619 0.566 Ca
0.492 0.881 0.566 Ca
0.508 0.119 0.434 Ca
0.508 0.381 0.434 Ca
0.550 0.250 0.905 Ca
0.950 0.750 0.405 Ca
0.992 0.619 0.934 Ca
0.992 0.881 0.934 Ca
0.000 0.000 0.500 Tl
0.000 0.500 0.500 Tl
0.500 0.000 0.000 Tl
0.500 0.500 0.000 Tl
0.071 0.750 0.096 O
0.429 0.250 0.596 O
0.571 0.750 0.404 O
0.929 0.250 0.904 O
```

Computed properties:
Density ... 3.9 g cm⁻³
Space group ... Pnma (62)


Number 1: DOS at the Fermi energy 7.162 states/eV/cell, ΔE_f (raw) -3.195 eV/atom. Number 2: DOS at the Fermi energy 56.240 states/eV/cell, ΔE_f (raw) -3.058 eV/atom. Number 3: DOS at the Fermi energy 0.000 states/eV/cell, ΔE_f (raw) -2.821 eV/atom. Number 4: DOS at the Fermi energy 0.000 states/eV/cell, ΔE_f (raw) -2.500 eV/atom. Number 5: DOS at the Fermi energy 0.000 states/eV/cell, ΔE_f (raw) -2.632 eV/atom. Number 6: DOS at the Fermi energy 0.000 states/eV/cell, ΔE_f (raw) -3.178 eV/atom. Number 7: DOS at the Fermi energy 0.000 states/eV/cell, ΔE_f (raw) -3.266 eV/atom. Number 8: DOS at the Fermi energy 6.655 states/eV/cell, ΔE_f (raw) -1.169 eV/atom. Number 9: DOS at the Fermi energy 5.174 states/eV/cell, ΔE_f (raw) -1.689 eV/atom. Number 10: DOS at the Fermi energy 10.874 states/eV/cell, ΔE_f (raw) -2.073 eV/atom. Number 11: DOS at the Fermi energy 1.456 states/eV/cell, ΔE_f (raw) -1.507 eV/atom. Number 12: DOS at the Fermi energy 10.998 states/eV/cell, ΔE_f (raw) -1.284 eV/atom.